Entry 1:
The following is a DFT calculation (PBE) of an optimized crystal structure of YTeAu2.

abc: 5.4839 5.4839 4.7748
angles: 79.11 79.11 43.76
Positions (direct):
Au 0.0287 0.0287 0.0687
Au 0.2895 0.2895 0.1565
Y 0.7267 0.7267 0.7140
Te 0.4551 0.4551 0.5608

Calculated values
Formation energy without anion corrections, meV per atom: -589.1
V, Å³ per atom: 24.310
Symmetry: Cm, No. 8
Total magnetic moment, Bohr magnetons per cell: 0.0

Entry 2:
The following is a DFT calculation (PBE) of an optimized crystal structure of Y2TeAu2.

abc: 8.0608 8.0608 4.0299
angles: 90.00 90.00 90.00
Positions (direct):
Te 0.5000 0.5000 0.0000
Te 0.0000 0.0000 0.0000
Y 0.8337 0.6663 0.0000
Y 0.6663 0.1663 0.0000
Y 0.3337 0.8337 0.0000
Y 0.1663 0.3337 0.0000
Au 0.3720 0.1280 0.5000
Au 0.6280 0.8720 0.5000
Au 0.1280 0.6280 0.5000
Au 0.8720 0.3720 0.5000

Calculated values
Formation energy without anion corrections, meV per atom: -842.2
V, Å³ per atom: 26.185
Symmetry: P4/mbm, No. 127
Total magnetic moment, Bohr magnetons per cell: 0.0

Entry 3:
The following is a DFT calculation (PBE) of an optimized crystal structure of YTe2Au.

abc: 4.9986 5.0000 3.9899
angles: 90.00 90.00 90.00
Positions (direct):
Au 0.0000 0.5000 0.5000
Te 0.5000 0.5000 0.0000
Te 0.0000 0.0000 0.0000
Y 0.5000 0.0000 0.5000

Calculated values
Formation energy without anion corrections, meV per atom: -652.8
V, Å³ per atom: 24.930
Symmetry: P4/mmm, No. 123
Total magnetic moment, Bohr magnetons per cell: 0.0

Entry 4:
The following is a DFT calculation (PBE) of an optimized crystal structure of ZnTeAu4.

abc: 5.5872 5.5872 5.5872
angles: 60.00 60.00 60.00
Positions (direct):
Au 0.3746 0.8762 0.3746
Au 0.3746 0.3746 0.3746
Au 0.8762 0.3746 0.3746
Au 0.3746 0.3746 0.8762
Zn 0.0000 0.0000 0.0000
Te 0.7500 0.7500 0.7500

Calculated values
Formation energy without anion corrections, meV per atom: 120.8
V, Å³ per atom: 20.555
Symmetry: F-43m, No. 216
Total magnetic moment, Bohr magnetons per cell: 0.0

Question: Among the records above, which one has the highest formation energy without anion corrections?
Answer: ZnTeAu4